The following is a PBE calculation of a relaxed LiAc4Pd3 crystal, from the Alexandria database.

abc: 4.180 4.784 11.696
angles: 90.00 90.00 90.00
Atoms (fractional coordinates):
Pd 0.000 0.500 0.589
Pd 0.500 0.000 0.927
Pd 0.000 0.000 0.419
Ac 0.500 0.500 0.372
Ac 0.000 0.000 0.140
Ac 0.500 0.000 0.634
Ac 0.000 0.500 0.854
Li 0.500 0.500 0.064

Values from the calculation:
final energy	-4.816	eV/atom
space group	Pmm2, No. 25
energy relative to the elements	-444	kJ/mol of formula units
DOS at the Fermi energy	0.7797	states/eV per atom

***

The following is a PBE calculation of a relaxed LiAc2Pd crystal, from the Alexandria database.

abc: 3.910 3.910 7.974
angles: 90.00 90.00 90.00
Atoms (fractional coordinates):
Ac 0.000 0.000 0.777
Ac 0.000 0.000 0.223
Li 0.500 0.500 0.500
Pd 0.500 0.500 0.000

Values from the calculation:
final energy	-4.142	eV/atom
space group	P4/mmm, No. 123
energy relative to the elements	-120	kJ/mol of formula units
DOS at the Fermi energy	1.2693	states/eV per atom

***

The following is a PBE calculation of a relaxed Li5Ac3Pd6 crystal, from the Alexandria database.

abc: 4.468 9.663 13.247
angles: 90.00 90.00 90.00
Atoms (fractional coordinates):
Pd 0.000 0.969 0.870
Pd 0.000 0.629 0.669
Pd 0.500 0.371 0.169
Pd 0.000 0.453 0.500
Pd 0.500 0.547 0.000
Pd 0.500 0.950 0.000
Pd 0.000 0.629 0.331
Pd 0.000 0.969 0.130
Pd 0.500 0.031 0.370
Pd 0.000 0.050 0.500
Pd 0.500 0.371 0.831
Pd 0.500 0.031 0.630
Li 0.000 0.759 0.000
Li 0.500 0.484 0.630
Li 0.000 0.909 0.672
Li 0.500 0.241 0.500
Li 0.500 0.091 0.172
Li 0.000 0.909 0.328
Li 0.000 0.516 0.130
Li 0.000 0.516 0.870
Li 0.500 0.484 0.370
Li 0.500 0.091 0.828
Ac 0.000 0.251 0.690
Ac 0.500 0.749 0.810
Ac 0.500 0.764 0.500
Ac 0.500 0.749 0.190
Ac 0.000 0.236 0.000
Ac 0.000 0.251 0.310

Values from the calculation:
final energy	-4.315	eV/atom
space group	Pmmn, No. 59
energy relative to the elements	-710	kJ/mol of formula units
DOS at the Fermi energy	0.5659	states/eV per atom

***

The following is a PBE calculation of a relaxed Li2Ac2Pd15 crystal, from the Alexandria database.

abc: 7.040 7.040 7.040
angles: 82.21 82.21 82.21
Atoms (fractional coordinates):
Pd 0.344 0.344 0.844
Pd 0.303 0.000 0.697
Pd 0.844 0.344 0.344
Pd 0.344 0.844 0.344
Pd 0.000 0.697 0.303
Pd 0.656 0.156 0.656
Pd 0.500 0.000 0.000
Pd 0.000 0.303 0.697
Pd 0.156 0.656 0.656
Pd 0.000 0.500 0.000
Pd 0.303 0.697 0.000
Pd 0.000 0.000 0.500
Pd 0.697 0.000 0.303
Pd 0.697 0.303 0.000
Pd 0.656 0.656 0.156
Ac 0.341 0.341 0.341
Ac 0.659 0.659 0.659
Li 0.093 0.093 0.093
Li 0.907 0.907 0.907

Values from the calculation:
final energy	-5.191	eV/atom
space group	R-3m, No. 166
energy relative to the elements	-839	kJ/mol of formula units
DOS at the Fermi energy	0.9217	states/eV per atom

***

The following is a PBE calculation of a relaxed Li12AcPd6 crystal, from the Alexandria database.

abc: 7.089 7.089 7.089
angles: 95.09 95.09 95.09
Atoms (fractional coordinates):
Pd 0.807 0.301 0.807
Pd 0.807 0.807 0.301
Pd 0.699 0.193 0.193
Pd 0.193 0.699 0.193
Pd 0.193 0.193 0.699
Pd 0.301 0.807 0.807
Li 0.500 0.874 0.126
Li 0.126 0.500 0.874
Li 0.874 0.500 0.126
Li 0.191 0.480 0.480
Li 0.520 0.520 0.809
Li 0.126 0.874 0.500
Li 0.874 0.126 0.500
Li 0.500 0.126 0.874
Li 0.520 0.809 0.520
Li 0.809 0.520 0.520
Li 0.480 0.480 0.191
Li 0.480 0.191 0.480
Ac 0.000 0.000 0.000

Values from the calculation:
final energy	-3.354	eV/atom
space group	R-3m, No. 166
energy relative to the elements	-531	kJ/mol of formula units
DOS at the Fermi energy	0.3122	states/eV per atom

***

The following is a PBE calculation of a relaxed LiAc2Pd6 crystal, from the Alexandria database.

abc: 5.872 5.936 5.936
angles: 60.00 90.00 90.00
Atoms (fractional coordinates):
Li 0.000 0.000 0.000
Pd 0.689 0.657 0.171
Pd 0.689 0.171 0.171
Pd 0.311 0.343 0.829
Pd 0.311 0.829 0.829
Pd 0.689 0.171 0.657
Pd 0.311 0.829 0.343
Ac 0.804 0.667 0.667
Ac 0.196 0.333 0.333

Values from the calculation:
final energy	-5.272	eV/atom
space group	P-3m1, No. 164
energy relative to the elements	-594	kJ/mol of formula units
DOS at the Fermi energy	0.2876	states/eV per atom

***

Question: Among the records above, which one has the lowest DOS at the Fermi energy?
Answer: LiAc2Pd6

***

Question: Look up the DOS at the Fermi energy of the first one.
Answer: 0.7797 states/eV per atom

***

Question: Among the records above, which one has the highest final energy?
Answer: Li12AcPd6